Crystalline CePaTl2O6 at its relaxed geometry, computed with GGA-PBE.

Properties
V	338	Å³/cell
crystal system	monoclinic
D(E_F)	11.6	states/eV per cell
size of the total moment	0.00	μB per formula unit
E	-7.40	eV/atom

```
data_CePaTl2O6
_space_group_name_H-M_alt 'C 1 2/m 1'
_space_group_IT_number 12
_cell_length_a 10.688
_cell_length_b 6.246
_cell_length_c 6.203
_cell_angle_alpha 90.00
_cell_angle_beta 125.40
_cell_angle_gamma 90.00
loop_
_space_group_symop_operation_xyz
'x,y,z'
'-x,-y,-z'
'-x,y,-z'
'x,-y,z'
'x+1/2,y+1/2,z'
'-x+1/2,-y+1/2,-z'
'-x+1/2,y+1/2,-z'
'x+1/2,-y+1/2,z'
loop_
_atom_site_label
_atom_site_fract_x
_atom_site_fract_y
_atom_site_fract_z
Ce1 0.000 0.000 0.000
Pa1 0.000 0.500 0.500
Tl1 0.250 0.000 0.738
O1 0.043 0.254 0.298
O2 0.245 0.500 0.821
```

***

Crystalline ZnFeBr2 at its relaxed geometry, computed with GGA-PBE.

Properties
V	224	Å³/cell
E above lowest polymorph	49.9	meV/atom
crystal system	monoclinic
D(E_F)	1.8	states/eV per cell
size of the total moment	3.99	μB per formula unit

```
data_ZnFeBr2
_space_group_name_H-M_alt 'C 1 m 1'
_space_group_IT_number 8
_cell_length_a 9.878
_cell_length_b 3.366
_cell_length_c 7.268
_cell_angle_alpha 90.00
_cell_angle_beta 111.94
_cell_angle_gamma 90.00
loop_
_space_group_symop_operation_xyz
'x,y,z'
'x,-y,z'
'x+1/2,y+1/2,z'
'x+1/2,-y+1/2,z'
loop_
_atom_site_label
_atom_site_fract_x
_atom_site_fract_y
_atom_site_fract_z
Zn1 0.000 0.000 0.000
Fe1 0.285 0.000 0.000
Br1 0.133 0.500 0.738
Br2 0.277 0.500 0.263
```

***

Crystalline LiSeI2O at its relaxed geometry, computed with GGA-PBE.

Properties
V	136	Å³/cell
E above lowest polymorph	0.0	meV/atom
crystal system	tetragonal
D(E_F)	0.4	states/eV per cell
size of the total moment	0.00	μB per formula unit

```
data_LiSeI2O
_space_group_name_H-M_alt 'P 4/m m m'
_space_group_IT_number 123
_space_group_name_Hall '-P 4 2'
_cell_length_a 5.940
_cell_length_b 5.940
_cell_length_c 3.861
_cell_angle_alpha 90.00
_cell_angle_beta 90.00
_cell_angle_gamma 90.00
loop_
_atom_site_label
_atom_site_fract_x
_atom_site_fract_y
_atom_site_fract_z
Li1 0.000 0.000 0.000
Se1 0.500 0.500 0.500
I1 0.000 0.500 0.500
O1 0.500 0.500 0.000
```

***

Crystalline BaTlGe at its relaxed geometry, computed with GGA-PBE.

Properties
V	430	Å³/cell
E above lowest polymorph	147.8	meV/atom
crystal system	cubic
D(E_F)	3.2	states/eV per cell
size of the total moment	0.00	μB per formula unit
ΔE_f	-0.28	eV/atom

```
data_BaTlGe
_space_group_name_H-M_alt 'F -4 3 m'
_space_group_IT_number 216
_space_group_name_Hall 'F -4 2 3'
_cell_length_a 7.549
_cell_length_b 7.549
_cell_length_c 7.549
_cell_angle_alpha 90.00
_cell_angle_beta 90.00
_cell_angle_gamma 90.00
loop_
_atom_site_label
_atom_site_fract_x
_atom_site_fract_y
_atom_site_fract_z
Ba1 0.000 0.000 0.000
Tl1 0.000 0.000 0.500
Ge1 0.250 0.250 0.250
```

***

Crystalline Zr2InBi2 at its relaxed geometry, computed with GGA-PBE.

Properties
V	258	Å³/cell
E above lowest polymorph	0.0	meV/atom
crystal system	tetragonal
D(E_F)	6.3	states/eV per cell
size of the total moment	0.00	μB per formula unit
ΔE_f	-0.23	eV/atom

```
data_Zr2InBi2
_space_group_name_H-M_alt 'P 4/m b m'
_space_group_IT_number 127
_space_group_name_Hall '-P 4 2ab'
_cell_length_a 8.025
_cell_length_b 8.025
_cell_length_c 4.010
_cell_angle_alpha 90.00
_cell_angle_beta 90.00
_cell_angle_gamma 90.00
loop_
_atom_site_label
_atom_site_fract_x
_atom_site_fract_y
_atom_site_fract_z
Zr1 0.146 0.354 0.000
In1 0.000 0.000 0.000
Bi1 0.153 0.653 0.500
```

***

Crystalline TcAgAs3 at its relaxed geometry, computed with GGA-PBE.

Properties
V	113	Å³/cell
E above lowest polymorph	0.0	meV/atom
crystal system	cubic
D(E_F)	6.5	states/eV per cell
size of the total moment	0.00	μB per formula unit
ΔE_f	0.56	eV/atom

```
data_TcAgAs3
_space_group_name_H-M_alt 'P m -3 m'
_space_group_IT_number 221
_space_group_name_Hall '-P 4 2 3'
_cell_length_a 4.835
_cell_length_b 4.835
_cell_length_c 4.835
_cell_angle_alpha 90.00
_cell_angle_beta 90.00
_cell_angle_gamma 90.00
loop_
_atom_site_label
_atom_site_fract_x
_atom_site_fract_y
_atom_site_fract_z
Tc1 0.000 0.000 0.000
Ag1 0.500 0.500 0.500
As1 0.000 0.000 0.500
```

***

Crystalline Tb2YHo at its relaxed geometry, computed with GGA-PBE.

Properties
V	258	Å³/cell
E above lowest polymorph	0.0	meV/atom
crystal system	monoclinic
D(E_F)	14.2	states/eV per cell
size of the total moment	0.00	μB per formula unit
ΔE_f	0.01	eV/atom

```
data_Tb2YHo
_space_group_name_H-M_alt 'P 1 21 1'
_space_group_IT_number 4
_cell_length_a 6.719
_cell_length_b 6.288
_cell_length_c 6.721
_cell_angle_alpha 90.00
_cell_angle_beta 114.63
_cell_angle_gamma 90.00
loop_
_space_group_symop_operation_xyz
'x,y,z'
'-x,y+1/2,-z'
loop_
_atom_site_label
_atom_site_fract_x
_atom_site_fract_y
_atom_site_fract_z
Tb1 0.125 0.000 0.124
Tb2 0.126 0.832 0.623
Y1 0.375 0.332 0.874
Ho1 0.374 0.499 0.375
```

***

Crystalline Mg2AgRuC at its relaxed geometry, computed with GGA-PBE.

Properties
V	77	Å³/cell
crystal system	tetragonal
D(E_F)	2.4	states/eV per cell
size of the total moment	0.00	μB per formula unit
ΔE_f	0.07	eV/atom

```
data_Mg2AgRuC
_space_group_name_H-M_alt 'P 4/m m m'
_space_group_IT_number 123
_space_group_name_Hall '-P 4 2'
_cell_length_a 4.423
_cell_length_b 4.423
_cell_length_c 3.919
_cell_angle_alpha 90.00
_cell_angle_beta 90.00
_cell_angle_gamma 90.00
loop_
_atom_site_label
_atom_site_fract_x
_atom_site_fract_y
_atom_site_fract_z
Mg1 0.000 0.500 0.000
Ag1 0.000 0.000 0.500
Ru1 0.500 0.500 0.500
C1 0.500 0.500 0.000
```